This record from Alexandria via LeMat-Bulk describes a geometry-optimized YMnSe2 structure. The functional is GGA-PBE.

Unit cell a=6.9689 b=6.9689 c=6.9689 alpha=90.00 beta=90.00 gamma=90.00
Space group F-43m (No. 216)
Unique sites:
Y: 0.0000 0.0000 0.0000 [4 per cell]
Mn: 0.2500 0.2500 0.7500 [4 per cell]
Se: 0.0000 0.0000 0.5000 [4 per cell]
Se: 0.2500 0.2500 0.2500 [4 per cell]

Computed properties:
Spin magnetization = 4.20 μB/f.u.
Formation energy without anion corrections = -0.189 eV per atom

This record from Alexandria via LeMat-Bulk describes a geometry-optimized TaTl2Cu structure. The functional is GGA-PBE.

Unit cell a=3.0572 b=3.9572 c=6.5701 alpha=90.00 beta=90.00 gamma=90.00
Space group Pmmm (No. 47)
Unique sites:
Ta: 0.0000 0.0000 0.0000 [1 per cell]
Tl: 0.5000 0.5000 0.2629 [2 per cell]
Cu: 0.0000 0.0000 0.5000 [1 per cell]

Computed properties:
E_form = 0.644 eV per atom
Energy above the most stable polymorph in this dataset = 215 meV per atom
Spin magnetization = 0.00 μB/f.u.

This record from Alexandria via LeMat-Bulk describes a geometry-optimized Mg2TlCl structure. The functional is GGA-PBE.

Unit cell a=3.2856 b=5.2926 c=5.7650 alpha=90.00 beta=90.00 gamma=90.00
Space group Pmmm (No. 47)
Unique sites:
Mg: 0.0000 0.0000 0.0000 [1 per cell]
Mg: 0.5000 0.0000 0.5000 [1 per cell]
Tl: 0.0000 0.5000 0.5000 [1 per cell]
Cl: 0.5000 0.5000 0.0000 [1 per cell]

Computed properties:
Energy above the most stable polymorph in this dataset = 209 meV per atom
Spin magnetization = 0.00 μB/f.u.
Formation energy without anion corrections = -0.301 eV per atom

This record from Alexandria via LeMat-Bulk describes a geometry-optimized KPPt3 structure. The functional is GGA-PBE.

Unit cell a=4.6460 b=4.6460 c=4.6460 alpha=90.00 beta=90.00 gamma=90.00
Space group Pm-3m (No. 221)
Unique sites:
K: 0.0000 0.0000 0.0000 [1 per cell]
P: 0.5000 0.5000 0.5000 [1 per cell]
Pt: 0.0000 0.5000 0.5000 [3 per cell]

Computed properties:
E_form = -0.085 eV per atom
Energy above the most stable polymorph in this dataset = 228 meV per atom
Spin magnetization = 0.00 μB/f.u.

This record from Alexandria via LeMat-Bulk describes a geometry-optimized CuP2RhO structure. The functional is GGA-PBE.

Unit cell a=4.5800 b=4.5800 c=3.4485 alpha=90.00 beta=90.00 gamma=90.00
Space group P4/mmm (No. 123)
Unique sites:
Cu: 0.0000 0.0000 0.0000 [1 per cell]
P: 0.0000 0.5000 0.0000 [2 per cell]
Rh: 0.5000 0.5000 0.5000 [1 per cell]
O: 0.0000 0.0000 0.5000 [1 per cell]

Computed properties:
Energy above the most stable polymorph in this dataset = 92 meV per atom
Spin magnetization = 0.00 μB/f.u.
Formation energy without anion corrections = 0.570 eV per atom

This record from Alexandria via LeMat-Bulk describes a geometry-optimized SrMgIn2I6 structure. The functional is GGA-PBE.

Unit cell a=8.4079 b=8.4079 c=21.3983 alpha=90.00 beta=90.00 gamma=120.00
Space group R3 (No. 146, hexagonal axes)
Unique sites:
Sr: 0.0000 0.0000 0.0000 [3 per cell]
Mg: 0.0000 0.0000 0.4987 [3 per cell]
In: 0.0000 0.0000 0.2961 [3 per cell]
In: 0.0000 0.0000 0.7984 [3 per cell]
I: 0.0127 0.4063 0.2398 [9 per cell]
I: 0.0768 0.7142 0.0806 [9 per cell]

Computed properties:
Spin magnetization = 0.00 μB/f.u.
Formation energy without anion corrections = -0.960 eV per atom

> Look up the spin magnetization of the fourth one.

0.00 μB/f.u.

> What is the spin magnetization in the sixth record?

0.00 μB/f.u.

> Which value of spin magnetization does entry 2 give?

0.00 μB/f.u.